Ce2AlCo4Ge3 | PBE | relaxed

Cell: 4.004 4.004 10.071 Å, 90.00 90.00 90.00°
Element x y z (fractional)
Ce 0.500 0.000 0.253
Ce 0.000 0.500 0.747
Ge 0.500 0.000 0.874
Ge 0.000 0.500 0.126
Ge 0.000 0.000 0.500
Co 0.500 0.000 0.638
Co 0.000 0.000 0.000
Co 0.500 0.500 0.000
Co 0.000 0.500 0.362
Al 0.500 0.500 0.500

Values from the calculation:
* SG: P-4m2, No. 115
* electronic total energy: -63.6 eV/cell